Entry from the Alexandria database: a relaxed structure of ZnCu3Pd (PBE).

Calculated values
density of states at the Fermi level	2.6	states/eV per cell
offset from the most stable computed form	998	meV/atom
energy relative to the elements	0.86	eV per atom

Cell: 4.6685 4.6685 4.6685 Å, 90.00 90.00 90.00°
Last column: nearest neighbours and their distance in Å.
Space group Pm-3m (No. 221)
Asymmetric unit:
1 Zn 0.0000 0.0000 0.0000 (multiplicity 1)  12 Cu 3.30
2 Cu 0.0000 0.5000 0.5000 (multiplicity 3)  2 Pd 2.33
3 Pd 0.5000 0.5000 0.5000 (multiplicity 1)  6 Cu 2.33